Record 1
Computed, not measured: a relaxed PmNd12Dy2 crystal at the PBE level of DFT.

Lattice parameters (Å, degrees): 7.218 11.659 25.088 90.00 90.00 90.00
Space group Cmme (No. 67)
Asymmetric unit:
Pm (0.000, 0.250, 0.001) x4
Nd (0.000, 0.003, 0.925) x8
Nd (0.000, 0.024, 0.440) x8
Nd (0.230, 0.250, 0.585) x8
Nd (0.248, 0.250, 0.131) x8
Nd (0.250, 0.000, 0.199) x8
Nd (0.250, 0.000, 0.325) x8
Dy (0.000, 0.250, 0.272) x4
Dy (0.000, 0.250, 0.733) x4

DFT formation energy: 15 kJ/mol of atoms

=====

Record 2
Computed, not measured: a relaxed MnHg2 crystal at the PBE level of DFT.

Lattice parameters (Å, degrees): 3.1418 3.1418 15.0621 90.00 90.00 120.00
Space group P-3m1 (No. 164)
Asymmetric unit:
Mn (0.3333, 0.6667, 0.4328) x2
Hg (0.3333, 0.6667, 0.0953) x2
Hg (0.3333, 0.6667, 0.7185) x2

DFT formation energy: 30 kJ/mol of atoms

=====

Record 3
Computed, not measured: a relaxed ZrNiPt2I crystal at the PBE level of DFT.

Lattice parameters (Å, degrees): 5.016 5.016 5.554 90.00 90.00 90.00
Space group P4/mmm (No. 123)
Asymmetric unit:
Zr (0.000, 0.000, 0.000) x1
Ni (0.500, 0.500, 0.500) x1
Pt (0.000, 0.500, 0.000) x2
I (0.000, 0.000, 0.500) x1

E_form (uncorrected): 4.83 eV/f.u.

=====

Record 4
Computed, not measured: a relaxed Sr5Sn2 crystal at the PBE level of DFT.

Lattice parameters (Å, degrees): 18.230 7.673 8.541 90.00 95.86 90.00
Space group C2/c (No. 15)
Asymmetric unit:
Sr (0.000, 0.063, 0.250) x4
Sr (0.089, 0.364, 0.931) x8
Sr (0.224, 0.055, 0.310) x8
Sn (0.107, 0.223, 0.561) x8

DFT formation energy: -47 kJ/mol of atoms

=====

Record 5
Computed, not measured: a relaxed TeIrAu2 crystal at the PBE level of DFT.

Lattice parameters (Å, degrees): 3.177 4.714 5.035 90.00 90.00 90.00
Space group Pmmm (No. 47)
Asymmetric unit:
Te (0.000, 0.000, 0.000) x1
Ir (0.500, 0.500, 0.000) x1
Au (0.000, 0.500, 0.500) x1
Au (0.500, 0.000, 0.500) x1

E_form (uncorrected): 1.69 eV/f.u.

=====

Record 6
Computed, not measured: a relaxed RbCd4Bi crystal at the PBE level of DFT.

Lattice parameters (Å, degrees): 8.843 8.843 8.843 90.00 90.00 90.00
Space group F-43m (No. 216)
Asymmetric unit:
Rb (0.000, 0.000, 0.000) x4
Cd (0.124, 0.124, 0.376) x16
Bi (0.250, 0.250, 0.750) x4

DFT formation energy: 0 kJ/mol of atoms

=====

Record 7
Computed, not measured: a relaxed NbNi2HOs crystal at the PBE level of DFT.

Lattice parameters (Å, degrees): 3.743 3.743 3.905 90.00 90.00 90.00
Space group P4/mmm (No. 123)
Asymmetric unit:
Nb (0.000, 0.000, 0.000) x1
Ni (0.000, 0.500, 0.500) x2
H (0.500, 0.500, 0.500) x1
Os (0.500, 0.500, 0.000) x1

calculated total energy: -36.820 eV per formula unit

=====

Record 8
Computed, not measured: a relaxed Tb3PuTl4S8 crystal at the PBE level of DFT.

Lattice parameters (Å, degrees): 8.1283 8.1283 22.4991 90.00 90.00 120.00
Space group R-3m (No. 166, hexagonal axes)
Asymmetric unit:
Tb (0.0000, 0.5000, 0.0000) x9
Pu (0.0000, 0.0000, 0.0000) x3
Tl (0.0000, 0.0000, 0.5000) x3
Tl (0.0000, 0.5000, 0.5000) x9
S (0.0000, 0.0000, 0.2671) x6
S (0.0014, 0.5007, 0.2673) x18

E_form (uncorrected): -22.53 eV/f.u.

=====

Record 9
Computed, not measured: a relaxed YIn3As crystal at the PBE level of DFT.

Lattice parameters (Å, degrees): 5.808 5.808 5.808 90.00 90.00 90.00
Space group Pm-3m (No. 221)
Asymmetric unit:
Y (0.000, 0.000, 0.000) x1
In (0.000, 0.000, 0.500) x3
As (0.500, 0.500, 0.500) x1

DFT formation energy: 82 kJ/mol of atoms